1.
A geometry-optimized NaTa2Cu structure. Source: Alexandria, functional PBE-GGA.

Lattice parameters (Å, degrees): 4.882 4.882 9.757 75.51 75.51 90.00
Positions (direct):
Na  0.500  0.500  0.000
Na  0.250  0.750  0.500
Cu  0.000  0.000  0.000
Cu  0.750  0.250  0.500
Ta  0.875  0.125  0.250
Ta  0.875  0.625  0.250
Ta  0.375  0.125  0.750
Ta  0.875  0.125  0.750

* density of states at the Fermi level: 8.16 states/eV per cell
* theoretical density: 6.8 g/cm3
* ΔE to the lowest computed polymorph: 0.644 eV per atom
* energy of formation from the pure elements: 1.61 eV per atom
* magnetic moment: 0.00 μB/f.u.

2.
A geometry-optimized Sn2PSe structure. Source: Alexandria, functional PBE-GGA.

Lattice parameters (Å, degrees): 7.210 7.210 6.680 57.34 57.34 90.00
Positions (direct):
P  0.500  0.500  0.000
P  0.250  0.750  0.500
Sn  0.602  0.125  0.250
Sn  0.148  0.625  0.250
Sn  0.375  0.398  0.750
Sn  0.875  0.852  0.750
Se  0.000  0.000  0.000
Se  0.750  0.250  0.500

* density of states at the Fermi level: 3.72 states/eV per cell
* theoretical density: 5.1 g/cm3
* ΔE to the lowest computed polymorph: 0.172 eV per atom
* uncorrected formation energy: -0.002 eV per atom
* magnetic moment: 0.00 μB/f.u.

3.
A geometry-optimized Ac3Zn3Ir2 structure. Source: Alexandria, functional PBE-GGA.

Lattice parameters (Å, degrees): 4.261 5.998 16.708 90.00 90.00 110.80
Positions (direct):
Ac  0.937  0.874  0.396
Ac  0.063  0.126  0.896
Ac  0.937  0.874  0.104
Ac  0.063  0.126  0.604
Ac  0.658  0.317  0.250
Ac  0.342  0.683  0.750
Zn  0.665  0.330  0.466
Zn  0.335  0.670  0.966
Zn  0.665  0.330  0.034
Zn  0.335  0.670  0.534
Zn  0.363  0.725  0.250
Zn  0.637  0.275  0.750
Ir  0.771  0.541  0.884
Ir  0.229  0.459  0.384
Ir  0.771  0.541  0.616
Ir  0.229  0.459  0.116

* density of states at the Fermi level: 10.53 states/eV per cell
* theoretical density: 10.5 g/cm3
* ΔE to the lowest computed polymorph: 0.032 eV per atom
* energy of formation from the pure elements: -0.47 eV per atom
* magnetic moment: 0.00 μB/f.u.

4.
A geometry-optimized Dy2SnPb structure. Source: Alexandria, functional PBE-GGA.

Lattice parameters (Å, degrees): 4.379 6.196 8.989 111.34 90.00 90.00
Positions (direct):
Dy  0.750  0.232  0.437
Dy  0.250  0.768  0.563
Dy  0.250  0.759  0.069
Dy  0.750  0.241  0.931
Sn  0.750  0.690  0.298
Sn  0.250  0.310  0.702
Pb  0.250  0.300  0.200
Pb  0.750  0.700  0.800

* density of states at the Fermi level: 4.97 states/eV per cell
* theoretical density: 9.5 g/cm3
* ΔE to the lowest computed polymorph: 0.000 eV per atom
* energy of formation from the pure elements: -0.60 eV per atom
* magnetic moment: 0.00 μB/f.u.

> What is the formula in the third record?

Ac3Zn3Ir2

What did the second record say?
A geometry-optimized Sn2PSe structure. Source: Alexandria, functional PBE-GGA.

Lattice parameters (Å, degrees): 7.210 7.210 6.680 57.34 57.34 90.00
Positions (direct):
P  0.500  0.500  0.000
P  0.250  0.750  0.500
Sn  0.602  0.125  0.250
Sn  0.148  0.625  0.250
Sn  0.375  0.398  0.750
Sn  0.875  0.852  0.750
Se  0.000  0.000  0.000
Se  0.750  0.250  0.500

* density of states at the Fermi level: 3.72 states/eV per cell
* theoretical density: 5.1 g/cm3
* ΔE to the lowest computed polymorph: 0.172 eV per atom
* uncorrected formation energy: -0.002 eV per atom
* magnetic moment: 0.00 μB/f.u.